Record 1
Rb2Cu2P (PBE-GGA, optimized geometry); uncorrected energy = -2.7897 eV/atom; SG = I4/mmm, No. 139; excess energy over the best structure of this formula in the dataset = 99.0 meV/atom; E_form = 1.6 eV per formula unit
1.0
-1.7324 1.7324 10.9599
1.7324 -1.7324 10.9599
1.7324 1.7324 -10.9599
Rb Cu P
2 2 1
Cartesian
0.0000 0.0000 2.3138 Rb
0.0000 0.0000 19.6059 Rb
1.7324 0.0000 5.4799 Cu
0.0000 1.7324 5.4799 Cu
0.0000 0.0000 10.9599 P

Record 2
RbCuP (PBE-GGA, optimized geometry); uncorrected energy = -3.4010 eV/atom; SG = I4mm, No. 107; E_form = 0.3 eV per formula unit
1.0
-1.7168 1.7168 6.0099
1.7168 -1.7168 6.0099
1.7168 1.7168 -6.0099
Rb Cu P
1 1 1
Cartesian
0.0000 0.0000 0.0000 Rb
0.0000 0.0000 3.0829 Cu
0.0000 0.0000 8.7179 P

Record 3
RbCu5P2 (PBE-GGA, optimized geometry); uncorrected energy = -4.0923 eV/atom; SG = Immm, No. 71; E_form = -0.5 eV per formula unit
1.0
-2.0158 3.4350 4.9975
2.0158 -3.4350 4.9975
2.0158 3.4350 -4.9975
Rb Cu P
1 5 2
Cartesian
0.0000 0.0000 0.0000 Rb
2.0158 2.2054 -1.8626 Cu
0.0000 1.2296 3.1349 Cu
0.0000 3.4350 0.0000 Cu
2.0158 2.2054 1.8626 Cu
0.0000 1.2296 6.8601 Cu
2.0158 0.0000 2.7305 P
0.0000 3.4350 2.2670 P

Record 4
RbCu9P4 (PBE-GGA, optimized geometry); uncorrected energy = -4.2439 eV/atom; SG = I4/mcm, No. 140; E_form = 0.1 eV per formula unit
1.0
-4.0608 4.0608 6.0526
4.0608 -4.0608 6.0526
4.0608 4.0608 -6.0526
Rb Cu P
2 18 8
Cartesian
0.0000 0.0000 3.0263 Rb
0.0000 0.0000 9.0789 Rb
4.0608 0.0000 0.0000 Cu
3.0306 -1.0302 2.2012 Cu
6.4818 0.5753 0.0000 Cu
5.0910 -1.0302 3.8514 Cu
0.5753 1.6398 0.0000 Cu
4.6361 2.4210 0.0000 Cu
5.0910 1.0302 2.2012 Cu
2.4210 3.4855 0.0000 Cu
3.0306 1.0302 3.8514 Cu
0.0000 4.0608 0.0000 Cu
1.0302 3.0306 2.2012 Cu
1.6398 0.5753 6.0526 Cu
-1.0302 3.0306 3.8514 Cu
-0.5753 1.6398 6.0526 Cu
3.4855 2.4210 6.0526 Cu
-1.0302 5.0910 2.2012 Cu
-2.4210 3.4855 6.0526 Cu
1.0302 5.0910 3.8514 Cu
2.6906 1.3702 -1.5018 P
2.6906 -1.3702 4.5508 P
2.6906 1.3702 1.5018 P
2.6906 -1.3702 7.5544 P
1.3702 5.4310 -1.5018 P
1.3702 2.6906 4.5508 P
1.3702 5.4310 1.5018 P
1.3702 2.6906 7.5544 P

Question: Look up the E_form of the first one.
Answer: 1.6 eV per formula unit